LiTa2Co | PBEsol | optimized geometry

Unit cell a=4.0251 b=4.0251 c=3.4460 alpha=90.00 beta=90.00 gamma=90.00
Closest atoms and distances in Å follow each position.
Space group P4/mmm (No. 123)
Asymmetric unit:
Li 0.0000 0.0000 0.0000 (multiplicity 1)  8 Ta 2.65, 4 Co 2.85
Ta 0.0000 0.5000 0.5000 (multiplicity 2)  4 Li 2.65, 4 Co 2.65, 4 Ta 2.85
Co 0.5000 0.5000 0.0000 (multiplicity 1)  8 Ta 2.65, 4 Li 2.85

Values from the calculation:
The formation energy is 227 meV per atom. As for the offset from the most stable computed form: 0 meV per atom.